Computed, not measured: PrNd4Sm7 after structural relaxation at the GGA-PBE level of DFT.

POSCAR file:
```
PrNd4Sm7
1.0
-0.787 -2.973 5.234
8.903 -1.464 4.028
2.528 4.969 6.724
Pr Nd Sm
1 4 7
Direct
0.000 0.000 0.000
0.575 0.301 0.549
0.425 0.699 0.451
0.673 0.612 0.042
0.327 0.388 0.958
0.785 0.879 0.550
0.215 0.121 0.450
0.082 0.558 0.277
0.918 0.442 0.723
0.208 0.772 0.811
0.500 0.000 0.000
0.792 0.228 0.189
```

Calculated values
DFT formation energy	0.203	eV per atom
excess energy over the best structure of this formula in the dataset	194.3	meV per atom
total magnetization	0.4	μB per cell
uncorrected energy	-54.44	eV for the cell shown